No. 1
The following is a PBE calculation of crystalline Dy3Y2Tm4 at its relaxed geometry, from Alexandria.

Cell: 10.0430 10.0430 5.9534 Å, 95.65 95.65 69.63°
Element x y z (fractional)
Dy (0.1550, 0.8450, 0.7500)
Dy (0.1826, 0.4871, 0.9149)
Dy (0.4871, 0.1826, 0.4149)
Dy (0.5129, 0.8174, 0.5851)
Dy (0.8174, 0.5129, 0.0851)
Dy (0.8450, 0.1550, 0.2500)
Y (0.0044, 0.7859, 0.2196)
Y (0.2141, 0.9956, 0.2804)
Y (0.7859, 0.0044, 0.7196)
Y (0.9956, 0.2141, 0.7804)
Tm (0.1225, 0.3428, 0.3766)
Tm (0.3296, 0.5459, 0.4521)
Tm (0.3428, 0.1225, 0.8766)
Tm (0.4541, 0.6704, 0.0479)
Tm (0.5459, 0.3296, 0.9521)
Tm (0.6572, 0.8775, 0.1234)
Tm (0.6704, 0.4541, 0.5479)
Tm (0.8775, 0.6572, 0.6234)

Output
Symmetry = No. 15
Formation enthalpy at 0 K = 0.1053 eV per atom

---

No. 2
The following is a PBE calculation of crystalline Dy6YTm3 at its relaxed geometry, from Alexandria.

Cell: 10.9056 10.9056 6.1561 Å, 90.00 90.00 119.89°
Element x y z (fractional)
Dy (0.0445, 0.9555, 0.5000)
Dy (0.0473, 0.4685, 0.0591)
Dy (0.2804, 0.7196, 0.7681)
Dy (0.2885, 0.3808, 0.8784)
Dy (0.3808, 0.2885, 0.3784)
Dy (0.4685, 0.0473, 0.5591)
Dy (0.5315, 0.9527, 0.0591)
Dy (0.6192, 0.7115, 0.8784)
Dy (0.7115, 0.6192, 0.3784)
Dy (0.7196, 0.2804, 0.2681)
Dy (0.9527, 0.5315, 0.5591)
Dy (0.9555, 0.0445, 0.0000)
Y (0.2035, 0.7965, 0.2756)
Y (0.7965, 0.2035, 0.7756)
Tm (0.0607, 0.2787, 0.4526)
Tm (0.2787, 0.0607, 0.9526)
Tm (0.3897, 0.6103, 0.3423)
Tm (0.6103, 0.3897, 0.8423)
Tm (0.7213, 0.9393, 0.4526)
Tm (0.9393, 0.7213, 0.9526)

Output
Symmetry = No. 36
Formation enthalpy at 0 K = 0.1564 eV per atom

---

Number 1: total DFT energy (no corrections) -4.85 eV per atom. Number 2: total DFT energy (no corrections) -4.59 eV per atom.